## TcAg2Mo (PBE-GGA)

Data for a relaxed structure of TcAg2Mo.

ΔH_f (0 K) = 0.50 eV/atom
DFT total energy = -0.2289 Ha/atom
Mass density = 9.92 Mg/m³

POSCAR file:
```
TcAg2Mo
1.0
-1.6102 2.3863 4.4639
1.6102 -2.3863 4.4639
1.6102 2.3863 -4.4639
Tc Ag Mo
1 2 1
direct
0.0000 0.0000 0.0000 Tc
0.2682 0.7682 0.5000 Ag
0.5339 0.5339 0.0000 Ag
0.8058 0.3058 0.5000 Mo
```

=====

## TcAg2Mo (PBE-GGA)

Data for a relaxed structure of TcAg2Mo.

ΔH_f (0 K) = 0.51 eV/atom
DFT total energy = -0.2284 Ha/atom
Mass density = 10.51 Mg/m³

POSCAR file:
```
TcAg2Mo
1.0
2.6525 0.0000 0.0000
0.0000 4.5961 0.0000
-0.0123 0.0000 5.3112
Tc Ag Mo
1 2 1
direct
0.0000 0.0000 0.0000 Tc
0.5003 0.5000 0.2495 Ag
0.4997 0.5000 0.7505 Ag
0.0000 0.0000 0.5000 Mo
```

=====

## TcAg2Mo (PBE-GGA)

Data for a relaxed structure of TcAg2Mo.

ΔH_f (0 K) = 0.52 eV/atom
DFT total energy = -0.2279 Ha/atom
Mass density = 10.49 Mg/m³

POSCAR file:
```
TcAg2Mo
1.0
2.6564 -4.6044 0.0000
2.6564 4.6044 0.0000
-0.0038 0.0000 2.6502
Tc Ag Mo
1 2 1
direct
0.0000 0.0000 0.0000 Tc
0.0000 0.5000 0.5000 Ag
0.5000 0.0000 0.5000 Ag
0.5000 0.5000 0.0000 Mo
```

=====

## TcAgMo (PBE-GGA)

Data for a relaxed structure of TcAgMo.

ΔH_f (0 K) = 0.39 eV/atom
DFT total energy = -0.2802 Ha/atom
Mass density = 10.51 Mg/m³

POSCAR file:
```
TcAgMo
1.0
4.5443 0.0000 0.0000
-2.2722 3.9355 0.0000
0.0000 0.0000 2.6652
Tc Ag Mo
1 1 1
direct
0.0000 0.0000 0.0000 Tc
0.6667 0.3333 0.3872 Ag
0.3333 0.6667 0.7773 Mo
```

=====

## TcAgMo (PBE-GGA)

Data for a relaxed structure of TcAgMo.

ΔH_f (0 K) = 0.37 eV/atom
DFT total energy = -0.2809 Ha/atom
Mass density = 10.22 Mg/m³

POSCAR file:
```
TcAgMo
1.0
0.0000 2.2475 6.9529
1.5697 0.0000 6.9529
1.5697 2.2475 0.0000
Tc Ag Mo
1 1 1
direct
0.0000 0.0000 0.0000 Tc
0.6765 0.6765 0.3235 Ag
0.3541 0.3541 0.6459 Mo
```

=====

## TcAg2Mo (PBE-GGA)

Data for a relaxed structure of TcAg2Mo.

ΔH_f (0 K) = 0.48 eV/atom
DFT total energy = -0.2294 Ha/atom
Mass density = 10.37 Mg/m³

POSCAR file:
```
TcAg2Mo
1.0
4.6919 -1.3203 0.0000
4.6919 1.3203 0.0000
-0.4365 0.0000 5.2936
Tc Ag Mo
1 2 1
direct
0.0000 0.0000 0.0000 Tc
0.2575 0.2575 0.7105 Ag
0.5088 0.5088 0.4885 Ag
0.7627 0.7627 0.2006 Mo
```

=====

## TcAg2Mo (PBE-GGA)

Data for a relaxed structure of TcAg2Mo.

ΔH_f (0 K) = 0.54 eV/atom
DFT total energy = -0.2271 Ha/atom
Mass density = 10.49 Mg/m³

POSCAR file:
```
TcAg2Mo
1.0
1.8765 -1.8889 0.0000
1.8765 1.8889 0.0000
0.0000 0.0000 9.1488
Tc Ag Mo
1 2 1
direct
0.0000 0.0000 0.0000 Tc
0.5000 0.5000 0.2480 Ag
0.5000 0.5000 0.7520 Ag
0.0000 0.0000 0.5000 Mo
```

=====

## TcAg2Mo (PBE-GGA)

Data for a relaxed structure of TcAg2Mo.

ΔH_f (0 K) = 0.58 eV/atom
DFT total energy = -0.2260 Ha/atom
Mass density = 10.55 Mg/m³

POSCAR file:
```
TcAg2Mo
1.0
-2.0319 2.0319 3.9054
2.0319 -2.0319 3.9054
2.0319 2.0319 -3.9054
Tc Ag Mo
1 2 1
direct
0.0000 0.0000 0.0000 Tc
0.2500 0.7500 0.5000 Ag
0.5000 0.5000 0.0000 Ag
0.7500 0.2500 0.5000 Mo
```

=====

## TcAg2Mo (PBE-GGA)

Data for a relaxed structure of TcAg2Mo.

ΔH_f (0 K) = 0.50 eV/atom
DFT total energy = -0.2287 Ha/atom
Mass density = 10.51 Mg/m³

POSCAR file:
```
TcAg2Mo
1.0
-1.8786 1.8786 4.5839
1.8786 -1.8786 4.5839
1.8786 1.8786 -4.5839
Tc Ag Mo
1 2 1
direct
0.0000 0.0000 0.0000 Tc
0.2500 0.7500 0.5000 Ag
0.7500 0.2500 0.5000 Ag
0.5000 0.5000 0.0000 Mo
```

=====

## TcAg2Mo (PBE-GGA)

Data for a relaxed structure of TcAg2Mo.

ΔH_f (0 K) = 0.51 eV/atom
DFT total energy = -0.2285 Ha/atom
Mass density = 10.50 Mg/m³

POSCAR file:
```
TcAg2Mo
1.0
3.7517 0.0000 0.0000
0.0000 3.7517 0.0000
0.0000 0.0000 4.6035
Tc Ag Mo
1 2 1
direct
0.0000 0.0000 0.0000 Tc
0.0000 0.5000 0.5000 Ag
0.5000 0.0000 0.5000 Ag
0.5000 0.5000 0.0000 Mo
```

=====

## TcAg4Mo (PBE-GGA)

Data for a relaxed structure of TcAg4Mo.

ΔH_f (0 K) = 0.82 eV/atom
DFT total energy = -0.1695 Ha/atom
Mass density = 9.79 Mg/m³

POSCAR file:
```
TcAg4Mo
1.0
0.0000 3.7567 3.7567
3.7567 0.0000 3.7567
3.7567 3.7567 0.0000
Tc Ag Mo
1 4 1
direct
0.0000 0.0000 0.0000 Tc
0.1249 0.6250 0.6250 Ag
0.6250 0.1249 0.6250 Ag
0.6250 0.6250 0.1249 Ag
0.6250 0.6250 0.6250 Ag
0.2500 0.2500 0.2500 Mo
```

=====

## TcAg2Mo (PBE-GGA)

Data for a relaxed structure of TcAg2Mo.

ΔH_f (0 K) = 0.29 eV/atom
DFT total energy = -0.2365 Ha/atom
Mass density = 10.23 Mg/m³

POSCAR file:
```
TcAg2Mo
1.0
1.5454 -2.2630 0.0000
1.5454 2.2630 0.0000
0.0000 0.0000 9.5063
Tc Ag Mo
1 2 1
direct
0.0000 0.0000 0.0000 Tc
0.0000 0.0000 0.5195 Ag
0.5000 0.5000 0.2591 Ag
0.5000 0.5000 0.7806 Mo
```